Below is HfCuGeAu2 at its PBEsol-relaxed geometry, with properties calculated at the meta-GGA SCAN level.

Results
N(E_F) = 4.20 states/eV/f.u.
spin magnetization = 0.000 μB/atom
ΔE_f = 0.987 eV per atom
final energy = -230.34 eV/f.u.

Cell and atoms, written as CIF:
```
data_HfCuGeAu2
_chemical_formula_sum 'Hf1 Cu1 Ge1 Au2'
_cell_length_a 5.039
_cell_length_b 5.039
_cell_length_c 5.103
_cell_angle_alpha 90.00
_cell_angle_beta 90.00
_cell_angle_gamma 90.00
_symmetry_space_group_name_H-M 'P 1'
_symmetry_Int_Tables_number 1
_symmetry_space_group_name_Hall 'P 1'
loop_
_atom_site_label
_atom_site_fract_x
_atom_site_fract_y
_atom_site_fract_z
_atom_site_occupancy
Hf1 0.000 0.000 0.000 1
Cu1 0.500 0.500 0.500 1
Ge1 0.000 0.000 0.500 1
Au1 0.000 0.500 0.000 1
Au2 0.500 0.000 0.000 1
```